[1]
## PrDyCu3 (PBE)

Data for PrDyCu3 after structural relaxation.

Structure (CIF):
```
data_PrDyCu3
_cell_length_a 3.7668
_cell_length_b 25.6041
_cell_length_c 4.3250
_cell_angle_alpha 90.00
_cell_angle_beta 90.00
_cell_angle_gamma 90.00
_space_group_name_H-M_alt 'C m c m'
_space_group_IT_number 63
_space_group_name_Hall '-C 2c 2'
loop_
_atom_site_label
_atom_site_type_symbol
_atom_site_fract_x
_atom_site_fract_y
_atom_site_fract_z
Pr1 Pr 0.0000 0.0724 0.2500
Dy1 Dy 0.0000 0.2050 0.7500
Cu1 Cu 0.0000 0.3253 0.7500
Cu2 Cu 0.0000 0.3790 0.2500
Cu3 Cu 0.0000 0.4759 0.2500
```

Output
- E_form (eV per formula unit) = -1.08
- DFT total energy (eV per atom) = -4.55
- crystal system = orthorhombic

[2]
## RbBO2F (PBE)

Data for RbBO2F after structural relaxation.

Structure (CIF):
```
data_RbBO2F
_cell_length_a 3.3002
_cell_length_b 3.3002
_cell_length_c 5.6688
_cell_angle_alpha 90.00
_cell_angle_beta 90.00
_cell_angle_gamma 90.00
_space_group_name_H-M_alt 'P 4/m m m'
_space_group_IT_number 123
_space_group_name_Hall '-P 4 2'
loop_
_atom_site_label
_atom_site_type_symbol
_atom_site_fract_x
_atom_site_fract_y
_atom_site_fract_z
Rb1 Rb 0.0000 0.0000 0.0000
B1 B 0.5000 0.5000 0.5000
O1 O 0.0000 0.5000 0.5000
F1 F 0.5000 0.5000 0.0000
```

Output
- uncorrected formation energy (meV per atom) = -1036
- DFT total energy (eV per atom) = -4.92
- crystal system = tetragonal

[3]
## Mn2NiMo (PBE)

Data for Mn2NiMo after structural relaxation.

Structure (CIF):
```
data_Mn2NiMo
_cell_length_a 3.3446
_cell_length_b 3.9621
_cell_length_c 7.7309
_cell_angle_alpha 90.00
_cell_angle_beta 90.00
_cell_angle_gamma 90.00
_space_group_name_H-M_alt 'C m m m'
_space_group_IT_number 65
_space_group_name_Hall '-C 2 2'
loop_
_atom_site_label
_atom_site_type_symbol
_atom_site_fract_x
_atom_site_fract_y
_atom_site_fract_z
Mn1 Mn 0.0000 0.0000 0.2310
Ni1 Ni 0.0000 0.5000 0.0000
Mo1 Mo 0.0000 0.5000 0.5000
```

Output
- E_form (eV per formula unit) = 0.60
- DFT total energy (eV per atom) = -8.59
- crystal system = orthorhombic

[4]
## CoRuW2N (PBE)

Data for CoRuW2N after structural relaxation.

Structure (CIF):
```
data_CoRuW2N
_cell_length_a 4.0824
_cell_length_b 4.0824
_cell_length_c 3.8043
_cell_angle_alpha 90.00
_cell_angle_beta 90.00
_cell_angle_gamma 90.00
_space_group_name_H-M_alt 'P 4/m m m'
_space_group_IT_number 123
_space_group_name_Hall '-P 4 2'
loop_
_atom_site_label
_atom_site_type_symbol
_atom_site_fract_x
_atom_site_fract_y
_atom_site_fract_z
Co1 Co 0.0000 0.0000 0.0000
Ru1 Ru 0.5000 0.5000 0.0000
W1 W 0.0000 0.5000 0.5000
N1 N 0.0000 0.0000 0.5000
```

Output
- uncorrected formation energy (meV per atom) = -17
- DFT total energy (eV per atom) = -10.14
- crystal system = tetragonal

[5]
## AsS2F (PBE)

Data for AsS2F after structural relaxation.

Structure (CIF):
```
data_AsS2F
_cell_length_a 6.3850
_cell_length_b 6.3850
_cell_length_c 7.2218
_cell_angle_alpha 90.00
_cell_angle_beta 90.00
_cell_angle_gamma 90.00
_space_group_name_H-M_alt 'I -4 2 d'
_space_group_IT_number 122
_space_group_name_Hall 'I -4 2bw'
loop_
_atom_site_label
_atom_site_type_symbol
_atom_site_fract_x
_atom_site_fract_y
_atom_site_fract_z
As1 As 0.0000 0.0000 0.0000
S1 S 0.2139 0.2500 0.1250
F1 F 0.0000 0.0000 0.5000
```

Output
- uncorrected formation energy (meV per atom) = -94
- E above lowest polymorph (meV/atom) = 20
- DFT total energy (eV per atom) = -3.79
- crystal system = tetragonal

[6]
## Sm6NbSe12 (PBE)

Data for Sm6NbSe12 after structural relaxation.

Structure (CIF):
```
data_Sm6NbSe12
_cell_length_a 12.4858
_cell_length_b 12.4858
_cell_length_c 11.9322
_cell_angle_alpha 90.00
_cell_angle_beta 90.00
_cell_angle_gamma 120.00
_space_group_name_H-M_alt 'R -3'
_space_group_IT_number 148
_space_group_name_Hall '-R 3'
loop_
_atom_site_label
_atom_site_type_symbol
_atom_site_fract_x
_atom_site_fract_y
_atom_site_fract_z
Sm1 Sm 0.0541 0.4422 0.3069
Nb1 Nb 0.0000 0.0000 0.0000
Se1 Se 0.0362 0.2170 0.3967
Se2 Se 0.0561 0.1949 0.8794
```

Output
- uncorrected formation energy (meV per atom) = -1531
- DFT total energy (eV per atom) = -5.75
- crystal system = trigonal

[7]
## K2Ca2C2O3F2 (PBE)

Data for K2Ca2C2O3F2 after structural relaxation.

Structure (CIF):
```
data_K2Ca2C2O3F2
_cell_length_a 9.2194
_cell_length_b 9.8426
_cell_length_c 8.2633
_cell_angle_alpha 90.00
_cell_angle_beta 90.00
_cell_angle_gamma 90.00
_space_group_name_H-M_alt 'C m c 21'
_space_group_IT_number 36
loop_
_space_group_symop_operation_xyz
'x,y,z'
'-x,-y,z+1/2'
'-x,y,z'
'x,-y,z+1/2'
'x+1/2,y+1/2,z'
'-x+1/2,-y+1/2,z+1/2'
'-x+1/2,y+1/2,z'
'x+1/2,-y+1/2,z+1/2'
loop_
_atom_site_label
_atom_site_type_symbol
_atom_site_fract_x
_atom_site_fract_y
_atom_site_fract_z
K1 K 0.2404 0.1321 0.0000
Ca1 Ca 0.0000 0.1329 0.3379
Ca2 Ca 0.0000 0.3963 0.8249
C1 C 0.0000 0.1307 0.6980
C2 C 0.0000 0.3469 0.1861
O1 O 0.0000 0.0174 0.6134
O2 O 0.0000 0.2411 0.6079
O3 O 0.0000 0.4596 0.0994
F1 F 0.2476 0.3857 0.8420
```

Output
- uncorrected formation energy (meV per atom) = -1799
- DFT total energy (eV per atom) = -5.73
- crystal system = orthorhombic

[8]
## TaMn2Os (PBE)

Data for TaMn2Os after structural relaxation.

Structure (CIF):
```
data_TaMn2Os
_cell_length_a 2.7576
_cell_length_b 2.7576
_cell_length_c 26.2792
_cell_angle_alpha 90.00
_cell_angle_beta 90.00
_cell_angle_gamma 120.00
_space_group_name_H-M_alt 'R 3 m'
_space_group_IT_number 160
_space_group_name_Hall 'R 3 -2"'
loop_
_atom_site_label
_atom_site_type_symbol
_atom_site_fract_x
_atom_site_fract_y
_atom_site_fract_z
Ta1 Ta 0.0000 0.0000 0.0000
Mn1 Mn 0.0000 0.0000 0.2450
Mn2 Mn 0.0000 0.0000 0.5021
Os1 Os 0.0000 0.0000 0.7590
```

Output
- E_form (eV per formula unit) = 0.95
- E above lowest polymorph (meV/atom) = 326
- DFT total energy (eV per atom) = -10.12
- crystal system = trigonal

[9]
## BaTaTe2 (PBE)

Data for BaTaTe2 after structural relaxation.

Structure (CIF):
```
data_BaTaTe2
_cell_length_a 7.5985
_cell_length_b 7.5985
_cell_length_c 7.5985
_cell_angle_alpha 90.00
_cell_angle_beta 90.00
_cell_angle_gamma 90.00
_space_group_name_H-M_alt 'F m -3 m'
_space_group_IT_number 225
_space_group_name_Hall '-F 4 2 3'
loop_
_atom_site_label
_atom_site_type_symbol
_atom_site_fract_x
_atom_site_fract_y
_atom_site_fract_z
Ba1 Ba 0.0000 0.0000 0.0000
Ta1 Ta 0.0000 0.0000 0.5000
Te1 Te 0.2500 0.2500 0.2500
```

Output
- uncorrected formation energy (meV per atom) = -115
- E above lowest polymorph (meV/atom) = 383
- DFT total energy (eV per atom) = -5.13
- crystal system = cubic

[10]
## Rb3CoI (PBE)

Data for Rb3CoI after structural relaxation.

Structure (CIF):
```
data_Rb3CoI
_cell_length_a 6.4099
_cell_length_b 6.4099
_cell_length_c 6.4099
_cell_angle_alpha 90.00
_cell_angle_beta 90.00
_cell_angle_gamma 90.00
_space_group_name_H-M_alt 'P m -3 m'
_space_group_IT_number 221
_space_group_name_Hall '-P 4 2 3'
loop_
_atom_site_label
_atom_site_type_symbol
_atom_site_fract_x
_atom_site_fract_y
_atom_site_fract_z
Rb1 Rb 0.0000 0.0000 0.5000
Co1 Co 0.0000 0.0000 0.0000
I1 I 0.5000 0.5000 0.5000
```

Output
- uncorrected formation energy (meV per atom) = 150
- DFT total energy (eV per atom) = -2.16
- crystal system = cubic

[11]
## Ba2SrBeBi (PBE)

Data for Ba2SrBeBi after structural relaxation.

Structure (CIF):
```
data_Ba2SrBeBi
_cell_length_a 6.6830
_cell_length_b 6.6830
_cell_length_c 5.1709
_cell_angle_alpha 90.00
_cell_angle_beta 90.00
_cell_angle_gamma 90.00
_space_group_name_H-M_alt 'P 4/m m m'
_space_group_IT_number 123
_space_group_name_Hall '-P 4 2'
loop_
_atom_site_label
_atom_site_type_symbol
_atom_site_fract_x
_atom_site_fract_y
_atom_site_fract_z
Ba1 Ba 0.0000 0.5000 0.0000
Sr1 Sr 0.0000 0.0000 0.0000
Be1 Be 0.0000 0.0000 0.5000
Bi1 Bi 0.5000 0.5000 0.5000
```

Output
- E_form (eV per formula unit) = 3.98
- DFT total energy (eV per atom) = -1.83
- crystal system = tetragonal

[12]
## CaLa2GeN (PBE)

Data for CaLa2GeN after structural relaxation.

Structure (CIF):
```
data_CaLa2GeN
_cell_length_a 5.0321
_cell_length_b 5.0321
_cell_length_c 4.8321
_cell_angle_alpha 90.00
_cell_angle_beta 90.00
_cell_angle_gamma 90.00
_space_group_name_H-M_alt 'P 4/m m m'
_space_group_IT_number 123
_space_group_name_Hall '-P 4 2'
loop_
_atom_site_label
_atom_site_type_symbol
_atom_site_fract_x
_atom_site_fract_y
_atom_site_fract_z
Ca1 Ca 0.0000 0.0000 0.0000
La1 La 0.0000 0.5000 0.5000
Ge1 Ge 0.5000 0.5000 0.0000
N1 N 0.0000 0.0000 0.5000
```

Output
- uncorrected formation energy (meV per atom) = -912
- DFT total energy (eV per atom) = -5.87
- crystal system = tetragonal

| no. | size of the total moment (μB/f.u.) |
| --- | --- |
| 1 | 0.00 |
| 2 | 0.24 |
| 3 | 4.67 |
| 4 | 0.00 |
| 5 | 0.00 |
| 6 | 0.00 |
| 7 | 2.00 |
| 8 | 4.45 |
| 9 | 1.00 |
| 10 | 1.01 |
| 11 | 0.00 |
| 12 | 0.00 |